PmPrErTh | GGA-PBE | optimized geometry

Output
Total moment: 0.00 μB/cell
Density: 8.52 g cm⁻³
Relative energy among the computed polymorphs: 0.000 eV/atom
Calculated formation energy: 0.02 eV/atom
Calculated total energy: -21.41 eV per cell

a b c (Å): 3.612 3.612 10.232
angles (deg): 90.00 90.00 90.00
Space group P4mm (No. 99)
Asymmetric unit:
Pm (0.000, 0.000, 0.000) (multiplicity 1)
Pr (0.500, 0.500, 0.268) (multiplicity 1)
Er (0.000, 0.000, 0.524) (multiplicity 1)
Th (0.500, 0.500, 0.758) (multiplicity 1)